[1]
Pr4Nd5Dy3 | GGA-PBE | relaxed

Results
The space group is C2/m. The calculation puts the density of states at the Fermi level at 19.77 states/eV per cell. The formation energy from the elements comes out at 20 kJ/mol of atoms. The density is 6.93 g/cm3. The total magnetization is 0.0 Bohr magnetons per cell. As for the total energy: -54.3 eV/cell.

abc: 8.787 8.787 9.514
angles: 114.77 114.77 40.26
Atoms (fractional coordinates):
Pr 0.083 0.083 0.442
Pr 0.218 0.218 0.879
Pr 0.782 0.782 0.121
Pr 0.917 0.917 0.558
Nd 0.000 0.000 0.000
Nd 0.328 0.328 0.611
Nd 0.426 0.426 0.298
Nd 0.574 0.574 0.702
Nd 0.672 0.672 0.389
Dy 0.209 0.209 0.228
Dy 0.500 0.500 0.000
Dy 0.791 0.791 0.772



[2]
LiCa3N | GGA-PBE | relaxed

Results
The space group is P2_1/m. The calculation puts the density of states at the Fermi level at 5.27 states/eV per cell. The formation energy (no corrections) is -0.33 eV per atom. The density is 1.58 g/cm3. The total magnetization is 0.0 Bohr magnetons per cell. As for the total energy: -35.8 eV/cell.

abc: 7.446 3.930 10.141
angles: 90.00 91.62 90.00
Atoms (fractional coordinates):
Li 0.139 0.250 0.445
Li 0.861 0.750 0.555
Ca 0.087 0.250 0.789
Ca 0.335 0.750 0.997
Ca 0.489 0.750 0.321
Ca 0.511 0.250 0.679
Ca 0.665 0.250 0.003
Ca 0.913 0.750 0.211
N 0.375 0.250 0.873
N 0.625 0.750 0.127



[3]
Hf3InOs2 | GGA-PBE | relaxed

Results
The space group is P4/mmm. The calculation puts the density of states at the Fermi level at 2.94 states/eV per cell. The formation energy from the elements comes out at -48 kJ/mol of atoms. The density is 14.99 g/cm3. The total magnetization is 0.0 Bohr magnetons per cell. As for the total energy: -58.0 eV/cell.

abc: 3.190 3.190 11.221
angles: 90.00 90.00 90.00
Atoms (fractional coordinates):
Hf 0.000 0.000 0.000
Hf 0.000 0.000 0.296
Hf 0.000 0.000 0.704
In 0.500 0.500 0.500
Os 0.500 0.500 0.150
Os 0.500 0.500 0.850



[4]
ZnHPd2 | GGA-PBE | relaxed

Results
The space group is Fm-3m. The calculation puts the density of states at the Fermi level at 0.79 states/eV per cell. The density is 9.19 g/cm3. The total magnetization is 0.0 Bohr magnetons per cell. As for the energy above the lowest structure with this stoichiometry: 361.9 meV per atom. As for the total energy: -14.8 eV/cell.

abc: 4.148 4.148 4.148
angles: 60.00 60.00 60.00
Atoms (fractional coordinates):
Zn 0.000 0.000 0.000
H 0.500 0.500 0.500
Pd 0.250 0.250 0.250
Pd 0.750 0.750 0.750



[5]
HoPaNiPd | GGA-PBE | relaxed

Results
The space group is F-43m. The calculation puts the density of states at the Fermi level at 6.14 states/eV per cell. The formation energy from the elements comes out at -36 kJ/mol of atoms. The density is 11.37 g/cm3. The total magnetization is 0.4 Bohr magnetons per cell. As for the total energy: -26.5 eV/cell.

abc: 4.875 4.875 4.875
angles: 60.00 60.00 60.00
Atoms (fractional coordinates):
Ho 0.000 0.000 0.000
Pa 0.500 0.500 0.500
Ni 0.250 0.250 0.250
Pd 0.750 0.750 0.750



[6]
Rb4Ag2Pd | GGA-PBE | relaxed

Results
The space group is I4/mmm. The calculation puts the density of states at the Fermi level at 0.14 states/eV per cell. The formation energy from the elements comes out at 16 kJ/mol of atoms. The density is 2.94 g/cm3. The total magnetization is 0.0 Bohr magnetons per cell. As for the total energy: -13.6 eV/cell.

abc: 10.369 10.369 10.369
angles: 144.46 144.46 51.14
Atoms (fractional coordinates):
Rb 0.000 0.500 0.500
Rb 0.175 0.175 0.000
Rb 0.500 0.000 0.500
Rb 0.825 0.825 0.000
Ag 0.365 0.365 0.000
Ag 0.635 0.635 0.000
Pd 0.000 0.000 0.000



[7]
Li2ZnH6Ru | GGA-PBE | relaxed

Results
The space group is P-1. The density is 3.97 g/cm3. The total magnetization is 0.0 Bohr magnetons per cell. As for the total energy: -36.2 eV/cell.

abc: 4.773 4.787 4.789
angles: 60.31 60.30 60.37
Atoms (fractional coordinates):
Li 0.237 0.251 0.254
Li 0.763 0.749 0.746
Zn 0.500 0.500 0.500
H 0.177 0.310 0.814
H 0.185 0.819 0.303
H 0.344 0.762 0.757
H 0.656 0.238 0.243
H 0.815 0.181 0.697
H 0.823 0.690 0.186
Ru 0.000 0.000 0.000



[8]
Mn3Pd3Au2 | GGA-PBE | relaxed

Results
The space group is Pmmm. The calculation puts the density of states at the Fermi level at 2.72 states/eV per cell. The formation energy from the elements comes out at -17 kJ/mol of atoms. The density is 11.53 g/cm3. The total magnetization is 13.4 Bohr magnetons per cell. As for the total energy: -51.1 eV/cell.

abc: 3.876 4.074 8.010
angles: 90.00 90.00 90.00
Atoms (fractional coordinates):
Mn 0.000 0.000 0.000
Mn 0.000 0.500 0.264
Mn 0.000 0.500 0.736
Pd 0.000 0.000 0.500
Pd 0.500 0.500 0.000
Pd 0.500 0.500 0.500
Au 0.500 0.000 0.246
Au 0.500 0.000 0.754



[9]
ErCu7O12 | GGA-PBE | relaxed

Results
The space group is Im-3. The calculation puts the density of states at the Fermi level at 7.43 states/eV per cell. The formation energy (no corrections) is -0.83 eV per atom. The density is 6.85 g/cm3. The total magnetization is 0.0 Bohr magnetons per cell. As for the total energy: -109.4 eV/cell.

abc: 6.328 6.328 6.328
angles: 109.47 109.47 109.47
Atoms (fractional coordinates):
Er 0.000 0.000 0.000
Cu 0.000 0.000 0.500
Cu 0.000 0.500 0.000
Cu 0.000 0.500 0.500
Cu 0.500 0.000 0.000
Cu 0.500 0.000 0.500
Cu 0.500 0.500 0.000
Cu 0.500 0.500 0.500
O 0.136 0.832 0.305
O 0.168 0.305 0.473
O 0.168 0.695 0.864
O 0.305 0.136 0.832
O 0.305 0.473 0.168
O 0.473 0.168 0.305
O 0.527 0.832 0.695
O 0.695 0.527 0.832
O 0.695 0.864 0.168
O 0.832 0.305 0.136
O 0.832 0.695 0.527
O 0.864 0.168 0.695



[10]
LaAlFe5 | GGA-PBE | relaxed

Results
The space group is Pnma. The calculation puts the density of states at the Fermi level at 25.82 states/eV per cell. The formation energy from the elements comes out at -4 kJ/mol of atoms. The density is 7.05 g/cm3. The total magnetization is 40.9 Bohr magnetons per cell. As for the total energy: -205.2 eV/cell.

abc: 8.096 4.963 10.439
angles: 90.00 90.00 90.00
Atoms (fractional coordinates):
La 0.235 0.250 0.059
La 0.265 0.750 0.559
La 0.735 0.250 0.441
La 0.765 0.750 0.941
Al 0.148 0.750 0.855
Al 0.352 0.250 0.355
Al 0.648 0.750 0.645
Al 0.852 0.250 0.145
Fe 0.055 0.750 0.112
Fe 0.062 0.004 0.312
Fe 0.062 0.496 0.312
Fe 0.089 0.250 0.518
Fe 0.191 0.250 0.753
Fe 0.309 0.750 0.253
Fe 0.411 0.750 0.018
Fe 0.438 0.504 0.812
Fe 0.438 0.996 0.812
Fe 0.445 0.250 0.612
Fe 0.555 0.750 0.388
Fe 0.562 0.004 0.188
Fe 0.562 0.496 0.188
Fe 0.589 0.250 0.982
Fe 0.691 0.250 0.747
Fe 0.809 0.750 0.247
Fe 0.911 0.750 0.482
Fe 0.938 0.504 0.688
Fe 0.938 0.996 0.688
Fe 0.945 0.250 0.888



[11]
Pb5S4Cl | GGA-PBE | relaxed

Results
The space group is C2/m. The calculation puts the density of states at the Fermi level at 2.39 states/eV per cell. The formation energy (no corrections) is -0.54 eV per atom. The density is 7.16 g/cm3. The total magnetization is 0.0 Bohr magnetons per cell. As for the total energy: -42.3 eV/cell.

abc: 7.463 7.463 11.143
angles: 120.83 120.83 31.98
Atoms (fractional coordinates):
Pb 0.000 0.000 0.000
Pb 0.206 0.206 0.815
Pb 0.392 0.392 0.612
Pb 0.608 0.608 0.388
Pb 0.794 0.794 0.185
S 0.199 0.199 0.302
S 0.397 0.397 0.098
S 0.603 0.603 0.902
S 0.801 0.801 0.698
Cl 0.000 0.000 0.500



[12]
Tl4SiSb | GGA-PBE | relaxed

Results
The space group is F-43m. The calculation puts the density of states at the Fermi level at 4.11 states/eV per cell. The formation energy (no corrections) is 0.51 eV per atom. The density is 8.83 g/cm3. The total magnetization is 0.0 Bohr magnetons per cell. As for the total energy: -15.9 eV/cell.

abc: 6.360 6.360 6.360
angles: 60.00 60.00 60.00
Atoms (fractional coordinates):
Tl 0.125 0.125 0.125
Tl 0.125 0.125 0.624
Tl 0.125 0.624 0.125
Tl 0.624 0.125 0.125
Si 0.500 0.500 0.500
Sb 0.750 0.750 0.750